1.
DFT (PBE-GGA) results for a geometry-optimized NdCdGa4 structure.

a b c (Å): 5.6305 5.6305 5.6305
angles (deg): 60.00 60.00 60.00
Closest atoms and distances in Å follow each position.
Fractional coordinates of all 6 atoms:
Nd (0.0000, 0.0000, 0.0000)  12 Ga 3.30, 4 Cd 3.45
Cd (0.7500, 0.7500, 0.7500)  12 Ga 3.30, 4 Nd 3.45
Ga (0.3747, 0.3747, 0.3747)  6 Ga 2.81-2.82
Ga (0.3747, 0.3747, 0.8760)  6 Ga 2.81-2.82
Ga (0.3747, 0.8760, 0.3747)  6 Ga 2.81-2.82
Ga (0.8760, 0.3747, 0.3747)  6 Ga 2.81-2.82

## Properties
- ΔH_f (0 K): -222 meV per atom

2.
DFT (PBE-GGA) results for a geometry-optimized TcSeCl2 structure.

a b c (Å): 4.8453 4.8453 4.8453
angles (deg): 60.00 60.00 60.00
Closest atoms and distances in Å follow each position.
Fractional coordinates of all 4 atoms:
Tc (0.0000, 0.0000, 0.0000)  8 Cl 2.97
Se (0.5000, 0.5000, 0.5000)  8 Cl 2.97
Cl (0.2500, 0.2500, 0.2500)  4 Se 2.97, 4 Tc 2.97
Cl (0.7500, 0.7500, 0.7500)  4 Se 2.97, 4 Tc 2.97

## Properties
- Relative energy among the computed polymorphs: 1140 meV per atom
- Formation energy (no corrections): 0.78 eV/atom

3.
DFT (PBE-GGA) results for a geometry-optimized LaGaAg2 structure.

a b c (Å): 10.8382 10.8382 10.8382
angles (deg): 16.54 16.54 16.54
Closest atoms and distances in Å follow each position.
Fractional coordinates of all 4 atoms:
La (0.0000, 0.0000, 0.0000)  6 La 3.12, 2 Ag 3.12
Ga (0.5000, 0.5000, 0.5000)  6 Ag 2.86, 6 Ga 3.12
Ag (0.0972, 0.0972, 0.0972)  3 Ga 2.86, 6 Ag 3.12, 1 La 3.12
Ag (0.9028, 0.9028, 0.9028)  3 Ga 2.86, 6 Ag 3.12, 1 La 3.12

## Properties
- ΔH_f (0 K): 233 meV per atom

4.
DFT (PBE-GGA) results for a geometry-optimized NdN2O structure.

a b c (Å): 4.4376 4.4376 6.3305
angles (deg): 90.00 90.00 120.00
Closest atoms and distances in Å follow each position.
Fractional coordinates of all 8 atoms:
Nd (0.3333, 0.6667, 0.2500)  3 O 2.56, 8 N 2.57-2.63
Nd (0.6667, 0.3333, 0.7500)  3 O 2.56, 8 N 2.57-2.63
N (0.3333, 0.6667, 0.6565)  1 N 1.18
N (0.3333, 0.6667, 0.8435)  1 N 1.18
N (0.6667, 0.3333, 0.1565)  1 N 1.18
N (0.6667, 0.3333, 0.3435)  1 N 1.18
O (0.0000, 0.0000, 0.2500)  3 Nd 2.56, 6 N 2.63
O (0.0000, 0.0000, 0.7500)  3 Nd 2.56, 6 N 2.63

## Properties
- Formation energy (no corrections): -0.94 eV/atom

5.
DFT (PBE-GGA) results for a geometry-optimized LiMgAgGe structure.

a b c (Å): 4.6121 4.6121 4.6121
angles (deg): 60.00 60.00 60.00
Closest atoms and distances in Å follow each position.
Fractional coordinates of all 4 atoms:
Li (0.0000, 0.0000, 0.0000)  4 Ge 2.82, 4 Ag 2.82
Mg (0.5000, 0.5000, 0.5000)  4 Ge 2.82, 4 Ag 2.82
Ag (0.2500, 0.2500, 0.2500)  4 Li 2.82, 4 Mg 2.82
Ge (0.7500, 0.7500, 0.7500)  4 Mg 2.82, 4 Li 2.82

## Properties
- Relative energy among the computed polymorphs: 0 meV per atom
- ΔH_f (0 K): -220 meV per atom

6.
DFT (PBE-GGA) results for a geometry-optimized ScIr2Au structure.

a b c (Å): 4.9671 4.9671 4.9671
angles (deg): 132.34 132.34 69.70
Closest atoms and distances in Å follow each position.
Fractional coordinates of all 4 atoms:
Sc (0.0000, 0.0000, 0.0000)  4 Au 2.84, 8 Ir 2.86
Ir (0.2500, 0.7500, 0.5000)  4 Ir 2.84, 4 Sc 2.86, 4 Au 2.86
Ir (0.7500, 0.2500, 0.5000)  4 Ir 2.84, 4 Sc 2.86, 4 Au 2.86
Au (0.5000, 0.5000, 0.0000)  4 Sc 2.84, 8 Ir 2.86

## Properties
- Relative energy among the computed polymorphs: 162 meV per atom
- ΔH_f (0 K): -338 meV per atom

no.,final energy (eV per atom),size of the total moment (μB/f.u.)
1,-3.187,0.000
2,-3.604,2.921
3,-3.181,0.001
4,-7.532,0.000
5,-2.964,0.000
6,-7.171,0.000